Entry 1:
# Er2TmInRh4

An optimized crystal structure of Er2TmInRh4 (PBE, Alexandria via LeMat-Bulk).

Values from the calculation:
* energy of formation: -869 meV per atom
* spin magnetization: 0.0 μB/f.u.
* electronic total energy: -52.69 eV/f.u.

abc: 4.7389 4.7389 8.1728
angles: 73.15 73.15 60.00
With the nearest neighbours (Å) after each atom.
Fractional positions:
Er  0.2458  0.2458  0.2625  8 Rh 2.83-2.98
Er  0.7542  0.7542  0.7375  8 Rh 2.83-2.98
Rh  0.6251  0.6251  0.1248  1 In 2.89, 3 Tm 2.90, 4 Er 2.93-2.98
Rh  0.1235  0.1235  0.6295  4 Er 2.83-2.86, 1 Tm 2.85, 3 In 2.91
Rh  0.3749  0.3749  0.8752  1 In 2.89, 3 Tm 2.90, 4 Er 2.93-2.98
Rh  0.8765  0.8765  0.3705  4 Er 2.83-2.86, 1 Tm 2.85, 3 In 2.91
Tm  0.0000  0.0000  0.0000  8 Rh 2.85-2.90
In  0.5000  0.5000  0.5000  8 Rh 2.89-2.91



Entry 2:
# InGe

An optimized crystal structure of InGe (PBE, Alexandria via LeMat-Bulk).

Values from the calculation:
* energy of formation: 422 meV per atom
* spin magnetization: 0.0 μB/f.u.
* electronic total energy: -6.51 eV/f.u.

abc: 8.5514 8.5514 8.5514
angles: 90.00 90.00 90.00
With the nearest neighbours (Å) after each atom.
Fractional positions:
In  0.6640  0.3360  0.6640  4 Ge 2.63-2.76
In  0.3360  0.3360  0.3360  4 Ge 2.63-2.76
In  0.1640  0.1640  0.8360  4 Ge 2.63-2.76
In  0.8360  0.1640  0.1640  4 Ge 2.63-2.76
In  0.1640  0.8360  0.1640  4 Ge 2.63-2.76
In  0.8360  0.8360  0.8360  4 Ge 2.63-2.76
In  0.6640  0.6640  0.3360  4 Ge 2.63-2.76
In  0.3360  0.6640  0.6640  4 Ge 2.63-2.76
Ge  0.6583  0.6583  0.6583  4 In 2.63-2.76
Ge  0.6583  0.3417  0.3417  4 In 2.63-2.76
Ge  0.8417  0.8417  0.1583  4 In 2.63-2.76
Ge  0.3417  0.3417  0.6583  4 In 2.63-2.76
Ge  0.8417  0.1583  0.8417  4 In 2.63-2.76
Ge  0.3417  0.6583  0.3417  4 In 2.63-2.76
Ge  0.1583  0.8417  0.8417  4 In 2.63-2.76
Ge  0.1583  0.1583  0.1583  4 In 2.63-2.76



Entry 3:
# NdGa2Ge

An optimized crystal structure of NdGa2Ge (PBE, Alexandria via LeMat-Bulk).

Values from the calculation:
* ΔE to the lowest computed polymorph: 1.21 eV/f.u.
* energy of formation: -199 meV per atom
* spin magnetization: 0.0 μB/f.u.
* electronic total energy: -16.23 eV/f.u.

abc: 5.2343 5.2343 4.8589
angles: 57.41 57.41 60.00
With the nearest neighbours (Å) after each atom.
Fractional positions:
Ga  0.7625  0.7625  0.7124  1 Ge 2.71, 1 Nd 3.00
Ga  0.2375  0.2375  0.2876  1 Ge 2.71, 1 Nd 3.00
Ge  0.0000  0.0000  0.0000  2 Ga 2.71
Nd  0.5000  0.5000  0.5000  8 Ga 3.00-3.13



Entry 4:
# Hg2GeTeH

An optimized crystal structure of Hg2GeTeH (PBE, Alexandria via LeMat-Bulk).

Values from the calculation:
* spin magnetization: 0.0 μB/f.u.
* electronic total energy: -9.51 eV/f.u.

abc: 5.2100 4.0378 5.2100
angles: 90.00 90.00 90.00
With the nearest neighbours (Å) after each atom.
Fractional positions:
Hg  0.5000  0.0000  0.0000  2 H 2.60
Hg  0.0000  0.0000  0.5000  2 H 2.60
Ge  0.5000  0.5000  0.5000  8 Hg 3.30, 4 Te 3.68
Te  0.0000  0.5000  0.0000  2 H 2.02
H  0.0000  0.0000  0.0000  2 Te 2.02



Entry 5:
# ScAgSe

An optimized crystal structure of ScAgSe (PBE, Alexandria via LeMat-Bulk).

Values from the calculation:
* ΔE to the lowest computed polymorph: 0.29 eV/f.u.
* formation energy from raw total energies: -0.68 eV/atom
* spin magnetization: 0.0 μB/f.u.
* electronic total energy: -14.71 eV/f.u.

abc: 6.1930 6.1928 3.3815
angles: 74.16 74.15 31.69
With the nearest neighbours (Å) after each atom.
Fractional positions:
Se  0.3005  0.3005  0.6995  4 Sc 2.72
Ag  0.0116  0.0116  0.9884  4 Sc 3.13, 5 Se 3.30-3.40, 4 Ag 3.38
Sc  0.6879  0.6879  0.3121  4 Se 2.72



Entry 6:
# Nd2Sc2Sb2C

An optimized crystal structure of Nd2Sc2Sb2C (PBE, Alexandria via LeMat-Bulk).

Values from the calculation:
* formation energy from raw total energies: -0.95 eV/atom
* spin magnetization: 0.0 μB/f.u.
* electronic total energy: -46.32 eV/f.u.

abc: 4.5442 4.5442 8.7263
angles: 105.09 105.09 90.00
With the nearest neighbours (Å) after each atom.
Fractional positions:
Nd  0.1636  0.1636  0.3272  1 C 2.65
Nd  0.8364  0.8364  0.6728  1 C 2.65
C  0.0000  0.0000  0.0000  4 Sc 2.27
Sb  0.3675  0.3675  0.7350  4 Sc 3.13, 5 Nd 3.25-3.31
Sb  0.6325  0.6325  0.2650  4 Sc 3.13, 5 Nd 3.25-3.31
Sc  0.5000  0.0000  0.0000  2 C 2.27
Sc  0.0000  0.5000  0.0000  2 C 2.27



Entry 7:
# LaCdGePt2

An optimized crystal structure of LaCdGePt2 (PBE, Alexandria via LeMat-Bulk).

Values from the calculation:
* ΔE to the lowest computed polymorph: 0.03 eV/f.u.
* energy of formation: -768 meV per atom
* spin magnetization: 0.0 μB/f.u.
* electronic total energy: -26.38 eV/f.u.

abc: 4.6143 5.0765 5.6837
angles: 115.16 113.99 89.99
With the nearest neighbours (Å) after each atom.
Fractional positions:
La  0.0692  0.5373  0.7354  7 Pt 3.09-3.44, 3 Ge 3.21-3.27, 1 Cd 3.40
Pt  0.8450  0.8267  0.2880  2 Ge 2.53
Pt  0.3648  0.5086  0.3270  2 Ge 2.53-2.60
Cd  0.6988  0.1799  0.9951  1 Ge 2.79, 4 Pt 2.84-2.91
Ge  0.4069  0.0562  0.4118  4 Pt 2.53-2.60, 1 Cd 2.79



Entry 8:
# HgRuW2

An optimized crystal structure of HgRuW2 (PBE, Alexandria via LeMat-Bulk).

Values from the calculation:
* ΔE to the lowest computed polymorph: 0.09 eV/f.u.
* energy of formation: 435 meV per atom
* spin magnetization: 0.0 μB/f.u.
* electronic total energy: -33.74 eV/f.u.

abc: 9.7096 9.7096 9.7096
angles: 16.86 16.86 16.86
With the nearest neighbours (Å) after each atom.
Fractional positions:
Hg  0.4977  0.4977  0.4977  6 Hg 2.85, 3 Ru 2.99, 3 W 3.05
W  0.2538  0.2538  0.2538  9 W 2.85-2.92, 3 Hg 3.05
W  0.0046  0.0046  0.0046  3 Ru 2.66, 9 W 2.85-2.92
Ru  0.7440  0.7440  0.7440  3 W 2.66, 6 Ru 2.85